## a
Material: GaSbP2O
Method: DFT, GGA-PBE
State: optimized geometry

Summary:
- crystal system = tetragonal

Cell: 4.9105 4.9105 3.6862 Å, 90.00 90.00 90.00°
Space group P4/mmm (No. 123)
Symmetry-distinct sites (fractional):
Ga (0.0000, 0.0000, 0.0000) [1 per cell]
Sb (0.5000, 0.5000, 0.5000) [1 per cell]
P (0.0000, 0.5000, 0.0000) [2 per cell]
O (0.0000, 0.0000, 0.5000) [1 per cell]


## b
Material: GaSbP2O
Method: DFT, GGA-PBE
State: optimized geometry

Summary:
- crystal system = tetragonal

Cell: 5.1259 5.1259 3.9232 Å, 90.00 90.00 90.00°
Space group P4/mmm (No. 123)
Symmetry-distinct sites (fractional):
Ga (0.0000, 0.0000, 0.0000) [1 per cell]
Sb (0.5000, 0.5000, 0.5000) [1 per cell]
P (0.0000, 0.5000, 0.5000) [2 per cell]
O (0.5000, 0.5000, 0.0000) [1 per cell]


Which one sits at the top of the stability order? a does.


## a
Material: GaSbPO2
Method: DFT, GGA-PBE
State: optimized geometry

Summary:
- crystal system = tetragonal

Cell: 3.9331 3.9331 5.3169 Å, 90.00 90.00 90.00°
Space group P4/mmm (No. 123)
Symmetry-distinct sites (fractional):
Ga (0.0000, 0.0000, 0.0000) [1 per cell]
Sb (0.5000, 0.5000, 0.5000) [1 per cell]
P (0.5000, 0.5000, 0.0000) [1 per cell]
O (0.0000, 0.5000, 0.5000) [2 per cell]


## b
Material: GaSbPO2
Method: DFT, GGA-PBE
State: optimized geometry

Summary:
- crystal system = tetragonal

Cell: 3.8851 3.8851 4.9325 Å, 90.00 90.00 90.00°
Space group P4/mmm (No. 123)
Symmetry-distinct sites (fractional):
Ga (0.0000, 0.0000, 0.0000) [1 per cell]
Sb (0.5000, 0.5000, 0.5000) [1 per cell]
P (0.0000, 0.0000, 0.5000) [1 per cell]
O (0.0000, 0.5000, 0.0000) [2 per cell]


Which one sits at the top of the stability order? a does.